The following is a PBE calculation of a relaxed ZnRe2Ir crystal, from Alexandria.

Values from the calculation:
- crystal system = tetragonal
- formation enthalpy at 0 K (meV/atom) = 833.0
- energy above the lowest structure with this stoichiometry (meV/atom) = 837

a b c (Å): 7.2506 7.2506 5.0780
angles (deg): 90.00 90.00 90.00
Space group I-42d (No. 122)
Asymmetric unit:
1 Zn 0.0000 0.0000 0.0000 [4 per cell]
2 Re 0.2207 0.2500 0.6250 [8 per cell]
3 Ir 0.0000 0.0000 0.5000 [4 per cell]